Entry 1:
Entry from Alexandria: crystalline Cs2NaAuBr6 at its relaxed geometry (PBEsol).

Formation energy without anion corrections = -1.03 eV per atom
D(E_F) = 0.5714 states/eV per atom

a b c (Å): 7.7220 7.7220 7.7220
angles (deg): 60.00 60.00 60.00
Fractional positions:
Cs  0.2500  0.2500  0.2500
Cs  0.7500  0.7500  0.7500
Na  0.0000  0.0000  0.0000
Au  0.5000  0.5000  0.5000
Br  0.2606  0.2606  0.7394
Br  0.2606  0.7394  0.2606
Br  0.2606  0.7394  0.7394
Br  0.7394  0.2606  0.2606
Br  0.7394  0.2606  0.7394
Br  0.7394  0.7394  0.2606

***

Entry 2:
Entry from Alexandria: crystalline Sr2TaCr at its relaxed geometry (PBEsol).

Distance to the lowest polymorph of the same formula = 393 meV/atom
D(E_F) = 1.0090 states/eV per atom
Energy relative to the elements = 456 kJ/mol of formula units

a b c (Å): 3.2495 3.2495 10.1339
angles (deg): 90.00 90.00 90.00
Fractional positions:
Sr  0.0000  0.0000  0.2460
Sr  0.0000  0.0000  0.7540
Ta  0.5000  0.5000  0.0000
Cr  0.5000  0.5000  0.5000

***

Entry 3:
Entry from Alexandria: crystalline La5Sb at its relaxed geometry (PBEsol).

Formation energy without anion corrections = -0.33 eV per atom
Distance to the lowest polymorph of the same formula = 64 meV/atom
D(E_F) = 1.2814 states/eV per atom

a b c (Å): 5.4480 9.3174 9.3174
angles (deg): 23.97 90.00 90.00
Fractional positions:
La  0.0000  0.0000  0.0000
La  0.0000  0.3096  0.3096
La  0.5000  0.1835  0.1835
La  0.5000  0.5392  0.5392
La  0.5000  0.8688  0.8688
Sb  0.0000  0.6523  0.6523

***

Entry 4:
Entry from Alexandria: crystalline RhSe2IBr at its relaxed geometry (PBEsol).

Formation energy without anion corrections = 1.38 eV per atom
D(E_F) = 1.6919 states/eV per atom

a b c (Å): 5.3709 5.3709 5.3066
angles (deg): 90.00 90.00 90.00
Fractional positions:
Rh  0.0000  0.0000  0.0000
Se  0.0000  0.5000  0.5000
Se  0.5000  0.0000  0.5000
I  0.5000  0.5000  0.5000
Br  0.5000  0.5000  0.0000

***

Entry 5:
Entry from Alexandria: crystalline CrCuP2O8 at its relaxed geometry (PBEsol).

Formation energy without anion corrections = -1.78 eV per atom
D(E_F) = 0.3650 states/eV per atom

a b c (Å): 4.7439 5.7502 9.6990
angles (deg): 90.00 92.45 90.00
Fractional positions:
Cr  0.0488  0.2500  0.2802
Cr  0.9512  0.7500  0.7198
Cu  0.4025  0.2500  0.7842
Cu  0.5975  0.7500  0.2158
P  0.0910  0.7500  0.4093
P  0.3984  0.7500  0.9028
P  0.6016  0.2500  0.0972
P  0.9090  0.2500  0.5907
O  0.1776  0.7500  0.5639
O  0.2229  0.5498  0.8273
O  0.2229  0.9502  0.8273
O  0.2235  0.5322  0.3381
O  0.2235  0.9678  0.3381
O  0.2297  0.2500  0.6086
O  0.2911  0.2500  0.1291
O  0.3579  0.7500  0.0567
O  0.6421  0.2500  0.9433
O  0.7089  0.7500  0.8709
O  0.7703  0.7500  0.3914
O  0.7765  0.0322  0.6619
O  0.7765  0.4678  0.6619
O  0.7771  0.0498  0.1727
O  0.7771  0.4502  0.1727
O  0.8224  0.2500  0.4361

***

Entry 6:
Entry from Alexandria: crystalline LiLaBe at its relaxed geometry (PBEsol).

D(E_F) = 1.6104 states/eV per atom
Energy relative to the elements = 135 kJ/mol of formula units

a b c (Å): 4.6905 4.6905 4.6905
angles (deg): 60.00 60.00 60.00
Fractional positions:
Li  0.0000  0.0000  0.0000
La  0.5000  0.5000  0.5000
Be  0.2500  0.2500  0.2500

***

Entry 7:
Entry from Alexandria: crystalline Be2SnN at its relaxed geometry (PBEsol).

Formation energy without anion corrections = 1.35 eV per atom
D(E_F) = 0.7498 states/eV per atom

a b c (Å): 4.1329 4.1329 4.1329
angles (deg): 60.00 60.00 60.00
Fractional positions:
Be  0.2500  0.2500  0.2500
Be  0.7500  0.7500  0.7500
Sn  0.0000  0.0000  0.0000
N  0.5000  0.5000  0.5000

***

Entry 8:
Entry from Alexandria: crystalline BaYO3 at its relaxed geometry (PBEsol).

Formation energy without anion corrections = -2.71 eV per atom
D(E_F) = 0.6695 states/eV per atom

a b c (Å): 4.3714 4.3714 4.3714
angles (deg): 90.00 90.00 90.00
Fractional positions:
Ba  0.0000  0.0000  0.0000
Y  0.5000  0.5000  0.5000
O  0.0000  0.5000  0.5000
O  0.5000  0.0000  0.5000
O  0.5000  0.5000  0.0000